Entry from the Alexandria database: a relaxed structure of ScPt2Br (PBE).

Results
Energy relative to the elements, uncorrected   -1.47 eV/f.u.
Theoretical density   10.40 g/cm3
M_tot   0.00 μB per cell
Final energy   -5.39 eV/atom

Unit cell a=7.8963 b=7.8963 c=5.2734 alpha=90.00 beta=90.00 gamma=90.00
Closest atoms and distances in Å follow each position.
Space group I-42d (No. 122)
One atom of each set of equivalent atoms:
Sc  0.0000  0.0000  0.0000 [4 per cell]  2 Br 2.64, 4 Pt 2.71
Pt  0.2199  0.2500  0.1250 [8 per cell]  2 Pt 2.68, 2 Sc 2.71
Br  0.0000  0.0000  0.5000 [4 per cell]  2 Sc 2.64

Entry from the Alexandria database: a relaxed structure of Rb2TaRh (PBE).

Results
Theoretical density   5.87 g/cm3
M_tot   11.82 μB per cell
Final energy   -3.21 eV/atom
E_form   2076 meV per atom

Unit cell a=8.0125 b=8.0125 c=8.0125 alpha=90.00 beta=90.00 gamma=90.00
Closest atoms and distances in Å follow each position.
Space group Fm-3m (No. 225)
One atom of each set of equivalent atoms:
Rb  0.2500  0.2500  0.2500 [8 per cell]  4 Ta 3.47, 4 Rh 3.47
Ta  0.0000  0.0000  0.0000 [4 per cell]  8 Rb 3.47
Rh  0.0000  0.0000  0.5000 [4 per cell]  8 Rb 3.47

Entry from the Alexandria database: a relaxed structure of La5YPb3 (PBE).

Results
Theoretical density   7.93 g/cm3
M_tot   7.71 μB per cell
Final energy   -5.14 eV/atom
E_form   -453 meV per atom

Unit cell a=9.9068 b=9.9068 c=6.9229 alpha=90.00 beta=90.00 gamma=120.00
Closest atoms and distances in Å follow each position.
Space group P6_3/mcm (No. 193)
One atom of each set of equivalent atoms:
La  0.0000  0.3332  0.2500 [6 per cell]  5 Pb 3.29-3.46
La  0.3333  0.6667  0.0000 [4 per cell]  8 La 3.46-3.73, 6 Pb 3.74
Y  0.0000  0.0000  0.0000 [2 per cell]  2 Y 3.46, 6 Pb 3.70, 6 La 3.73
Pb  0.0000  0.3304  0.7500 [6 per cell]  5 La 3.29-3.46

Entry from the Alexandria database: a relaxed structure of PuPaInO6 (PBE).

Results
Energy relative to the elements, uncorrected   -24.68 eV/f.u.
Theoretical density   8.64 g/cm3
M_tot   8.00 μB per cell
Final energy   -9.00 eV/atom

Unit cell a=5.5831 b=5.5831 c=9.7669 alpha=90.00 beta=90.00 gamma=120.00
Closest atoms and distances in Å follow each position.
Space group P-31c (No. 163)
One atom of each set of equivalent atoms:
Pu  0.3333  0.6667  0.2500 [2 per cell]  6 O 2.24
Pa  0.0000  0.0000  0.0000 [2 per cell]  6 O 2.21
In  0.3333  0.6667  0.7500 [2 per cell]  6 O 2.21
O  0.0029  0.3276  0.6284 [12 per cell]  1 Pa 2.21, 1 In 2.21, 1 Pu 2.24

Entry from the Alexandria database: a relaxed structure of KBaZn2F8 (PBE).

Results
Energy relative to the elements, uncorrected   -31.03 eV/f.u.
Theoretical density   3.64 g/cm3
M_tot   2.31 μB per cell
Final energy   -4.30 eV/atom

Unit cell a=5.8599 b=5.8599 c=12.1859 alpha=90.00 beta=90.00 gamma=90.00
Closest atoms and distances in Å follow each position.
Space group I-4 (No. 82)
One atom of each set of equivalent atoms:
K  0.0000  0.0000  0.0000 [2 per cell]  8 F 2.73-2.79
Ba  0.0000  0.5000  0.7500 [2 per cell]  8 F 2.67-2.72
Zn  0.0000  0.0000  0.5000 [2 per cell]  4 F 1.91
Zn  0.0000  0.5000  0.2500 [2 per cell]  4 F 1.90
F  0.1422  0.2458  0.5761 [8 per cell]  1 Zn 1.91
F  0.1509  0.7461  0.1791 [8 per cell]  1 Zn 1.90

Entry from the Alexandria database: a relaxed structure of SiAgCl (PBE).

Results
Energy relative to the elements, uncorrected   -0.33 eV/f.u.
Theoretical density   3.87 g/cm3
M_tot   0.00 μB per cell
Final energy   -3.49 eV/atom

Unit cell a=3.5830 b=3.5830 c=11.4614 alpha=90.00 beta=90.00 gamma=90.00
Closest atoms and distances in Å follow each position.
Space group I4mm (No. 107)
One atom of each set of equivalent atoms:
Si  0.0000  0.0000  0.0000 [2 per cell]  1 Cl 2.12
Ag  0.0000  0.0000  0.4489 [2 per cell]  4 Si 2.60
Cl  0.0000  0.0000  0.1848 [2 per cell]  1 Si 2.12

Entry from the Alexandria database: a relaxed structure of HfTi5In7 (PBE).

Results
Theoretical density   7.30 g/cm3
M_tot   1.57 μB per cell
Final energy   -5.34 eV/atom
E_form   -59 meV per atom

Unit cell a=5.8109 b=9.5920 c=9.9668 alpha=90.00 beta=90.00 gamma=90.00
Closest atoms and distances in Å follow each position.
Space group Imm2 (No. 44)
One atom of each set of equivalent atoms:
Hf  0.0000  0.0000  0.0000 [2 per cell]  3 In 2.96-3.11, 4 Ti 3.18
Ti  0.0000  0.5000  0.3262 [2 per cell]  4 Ti 2.69, 2 In 2.98
Ti  0.2441  0.2332  0.8229 [8 per cell]  3 Ti 2.69-2.97, 6 In 2.90-3.00
In  0.0000  0.0000  0.3466 [2 per cell]  2 In 2.91, 4 Ti 2.97
In  0.0000  0.0000  0.7027 [2 per cell]  6 Ti 2.91-3.16, 1 Hf 2.96
In  0.0000  0.3141  0.0767 [4 per cell]  5 Ti 2.90-3.06, 3 In 3.08-3.18, 1 Hf 3.11
In  0.0000  0.3195  0.5694 [4 per cell]  5 Ti 2.92-3.01, 3 In 3.08-3.18
In  0.0000  0.5000  0.8249 [2 per cell]  6 In 2.91-3.08, 4 Ti 2.93

Entry from the Alexandria database: a relaxed structure of KIN2O (PBE).

Results
Energy relative to the elements, uncorrected   4.91 eV/f.u.
Theoretical density   4.78 g/cm3
M_tot   0.00 μB per cell
Final energy   -3.87 eV/atom

Unit cell a=4.1158 b=4.1158 c=4.3068 alpha=90.00 beta=90.00 gamma=90.00
Closest atoms and distances in Å follow each position.
Space group P4/mmm (No. 123)
One atom of each set of equivalent atoms:
K  0.0000  0.0000  0.0000 [1 per cell]  4 O 2.91, 8 N 2.98
I  0.5000  0.5000  0.5000 [1 per cell]  4 N 2.06, 2 O 2.15
N  0.0000  0.5000  0.5000 [2 per cell]  2 I 2.06
O  0.5000  0.5000  0.0000 [1 per cell]  2 I 2.15